Entry 1
A relaxed Ta3VNi crystal, computed with PBE.

Results
SG: Pm-3m

a b c (Å): 4.5863 4.5863 4.5863
angles (deg): 90.00 90.00 90.00
Fractional coordinates of all 5 atoms:
Ta 0.0000 0.0000 0.5000
Ta 0.0000 0.5000 0.0000
Ta 0.5000 0.0000 0.0000
V 0.0000 0.0000 0.0000
Ni 0.5000 0.5000 0.5000

---

Entry 2
A relaxed Ta3VNi crystal, computed with PBE.

Results
SG: Pm-3m

a b c (Å): 4.5924 4.5924 4.5924
angles (deg): 90.00 90.00 90.00
Fractional coordinates of all 5 atoms:
Ta 0.0000 0.0000 0.5000
Ta 0.0000 0.5000 0.0000
Ta 0.5000 0.0000 0.0000
V 0.5000 0.5000 0.5000
Ni 0.0000 0.0000 0.0000

---

entry 2 takes first place; second place is 334 meV/atom up.

---

Entry 1
A relaxed TaVNi3 crystal, computed with PBE.

Results
SG: P2_1/m

a b c (Å): 5.3986 4.9952 5.4090
angles (deg): 90.00 110.69 90.00
Fractional coordinates of all 10 atoms:
Ta 0.1994 0.2500 0.1796
Ta 0.8006 0.7500 0.8204
V 0.4271 0.7500 0.0640
V 0.5729 0.2500 0.9360
Ni 0.1465 0.7500 0.2810
Ni 0.2162 0.5041 0.6734
Ni 0.2162 0.9959 0.6734
Ni 0.7838 0.0041 0.3266
Ni 0.7838 0.4959 0.3266
Ni 0.8535 0.2500 0.7190

---

Entry 2
A relaxed TaVNi3 crystal, computed with PBE.

Results
SG: Pm-3m

a b c (Å): 4.2065 4.2065 4.2065
angles (deg): 90.00 90.00 90.00
Fractional coordinates of all 5 atoms:
Ta 0.0000 0.0000 0.0000
V 0.5000 0.5000 0.5000
Ni 0.0000 0.5000 0.5000
Ni 0.5000 0.0000 0.5000
Ni 0.5000 0.5000 0.0000

---

Entry 3
A relaxed TaVNi3 crystal, computed with PBE.

Results
SG: Cmcm

a b c (Å): 6.8438 6.8438 4.4961
angles (deg): 90.00 90.00 139.86
Fractional coordinates of all 10 atoms:
Ta 0.1947 0.8053 0.7500
Ta 0.8053 0.1947 0.2500
V 0.4498 0.5502 0.2500
V 0.5502 0.4498 0.7500
Ni 0.0000 0.0000 0.0000
Ni 0.0000 0.0000 0.5000
Ni 0.1180 0.3894 0.7500
Ni 0.3894 0.1180 0.2500
Ni 0.6106 0.8820 0.7500
Ni 0.8820 0.6106 0.2500

---

entry 3 takes first place; second place is 60 meV/atom up.

---

Entry 1
A relaxed TaNiW3 crystal, computed with PBE.

Results
SG: Pm-3m

a b c (Å): 4.4735 4.4735 4.4735
angles (deg): 90.00 90.00 90.00
Fractional coordinates of all 5 atoms:
Ta 0.0000 0.0000 0.0000
Ni 0.5000 0.5000 0.5000
W 0.0000 0.5000 0.5000
W 0.5000 0.0000 0.5000
W 0.5000 0.5000 0.0000

---

Entry 2
A relaxed TaNiW3 crystal, computed with PBE.

Results
SG: Pm-3m

a b c (Å): 4.7412 4.7412 4.7412
angles (deg): 90.00 90.00 90.00
Fractional coordinates of all 5 atoms:
Ta 0.0000 0.0000 0.0000
Ni 0.5000 0.5000 0.5000
W 0.0000 0.0000 0.5000
W 0.0000 0.5000 0.0000
W 0.5000 0.0000 0.0000

---

entry 1 takes first place; second place is 1128 meV/atom up.